Entry from the Alexandria database: crystalline MnFeSi2 at its relaxed geometry (PBE).

The space group is R3m (No. 160, hexagonal axes) and the conventional cell measures 2.7176, 2.7176 and 22.5584 Å, with angles of 90.00, 90.00 and 120.00 degrees. The inequivalent atoms are Mn at (0.0000, 0.0000, 0.0000), Fe at (0.0000, 0.0000, 0.7524), Si at (0.0000, 0.0000, 0.2542) and Si at (0.0000, 0.0000, 0.4952).

The calculation puts the uncorrected formation energy at 0.0274 eV/atom.


Entry from the Alexandria database: crystalline Nb2SiTc at its relaxed geometry (PBE).

The space group is I-42d (No. 122) and the conventional cell measures 7.021, 7.021 and 5.592 Å, with angles of 90.00, 90.00 and 90.00 degrees. The inequivalent atoms are Nb at (0.249, 0.750, 0.125), Si at (0.000, 0.000, 0.000) and Tc at (0.000, 0.000, 0.500).

The calculation puts the uncorrected formation energy at 0.2973 eV/atom.


Entry from the Alexandria database: crystalline NaVFeP2 at its relaxed geometry (PBE).

The space group is P4/mmm (No. 123) and the conventional cell measures 4.541, 4.541 and 4.677 Å, with angles of 90.00, 90.00 and 90.00 degrees. The inequivalent atoms are Na at (0.000, 0.000, 0.000), V at (0.500, 0.500, 0.500), Fe at (0.500, 0.500, 0.000) and P at (0.000, 0.500, 0.500).

The calculated formation energy is 1.698 eV per formula unit.


Entry from the Alexandria database: crystalline TcSeN2 at its relaxed geometry (PBE).

The space group is I-42d (No. 122) and the conventional cell measures 5.392, 5.392 and 8.650 Å, with angles of 90.00, 90.00 and 90.00 degrees. The inequivalent atoms are Tc at (0.000, 0.000, 0.000), Se at (0.000, 0.000, 0.500) and N at (0.130, 0.250, 0.125).

The calculation puts the uncorrected formation energy at 0.7423 eV/atom.


Entry from the Alexandria database: crystalline Pr3Sm4Sc2 at its relaxed geometry (PBE).

The space group is C2/m (No. 12) and the conventional cell measures 11.317, 5.062 and 10.704 Å, with angles of 90.00, 108.37 and 90.00 degrees. The inequivalent atoms are Pr at (0.000, 0.000, 0.000), Pr at (0.169, 0.500, 0.556), Sm at (0.003, 0.000, 0.672), Sm at (0.168, 0.500, 0.890) and Sc at (0.166, 0.500, 0.221).

The calculated formation energy is 0.393 eV per formula unit.


Entry from the Alexandria database: crystalline Tb2Pd3Au2 at its relaxed geometry (PBE).

The space group is C2/m (No. 12) and the conventional cell measures 11.399, 4.251 and 5.883 Å, with angles of 90.00, 90.58 and 90.00 degrees. The inequivalent atoms are Tb at (0.141, 0.000, 0.135), Pd at (0.000, 0.000, 0.500), Pd at (0.229, 0.000, 0.644) and Au at (0.077, 0.500, 0.788).

The calculated formation energy is -4.454 eV per formula unit.


Entry from the Alexandria database: crystalline YAlAu at its relaxed geometry (PBE).

The space group is Pnma (No. 62) and the conventional cell measures 7.220, 4.499 and 7.781 Å, with angles of 90.00, 90.00 and 90.00 degrees. The inequivalent atoms are Y at (0.007, 0.250, 0.200), Al at (0.179, 0.250, 0.580) and Au at (0.210, 0.750, 0.408).

The calculated formation energy is -2.438 eV per formula unit.


Entry from the Alexandria database: crystalline NdTmNiAu at its relaxed geometry (PBE).

The space group is F-43m (No. 216) and the conventional cell measures 7.090, 7.090 and 7.090 Å, with angles of 90.00, 90.00 and 90.00 degrees. The inequivalent atoms are Nd at (0.000, 0.000, 0.000), Tm at (0.000, 0.000, 0.500), Ni at (0.250, 0.250, 0.750) and Au at (0.250, 0.250, 0.250).

The calculated formation energy is -2.140 eV per formula unit.


Entry from the Alexandria database: crystalline Zr2Cd8Hg at its relaxed geometry (PBE).

The space group is C2/m (No. 12) and the conventional cell measures 16.854, 4.458 and 6.731 Å, with angles of 90.00, 104.57 and 90.00 degrees. The inequivalent atoms are Zr at (0.222, 0.000, 0.139), Cd at (0.041, 0.000, 0.218), Cd at (0.099, 0.500, 0.935), Cd at (0.150, 0.000, 0.674), Cd at (0.171, 0.500, 0.397) and Hg at (0.000, 0.500, 0.500).

The calculated formation energy is -0.366 eV per formula unit.


Entry from the Alexandria database: crystalline Ac3La2Cd at its relaxed geometry (PBE).

The space group is Cmmm (No. 65) and the conventional cell measures 6.063, 18.954 and 4.039 Å, with angles of 90.00, 90.00 and 90.00 degrees. The inequivalent atoms are Ac at (0.000, 0.000, 0.000), Ac at (0.000, 0.183, 0.500), La at (0.000, 0.359, 0.000) and Cd at (0.000, 0.500, 0.500).

The calculated formation energy is -0.521 eV per formula unit.


Entry from the Alexandria database: crystalline Tl2ReIr at its relaxed geometry (PBE).

The space group is F-43m (No. 216) and the conventional cell measures 6.781, 6.781 and 6.781 Å, with angles of 90.00, 90.00 and 90.00 degrees. The inequivalent atoms are Tl at (0.000, 0.000, 0.000), Tl at (0.250, 0.250, 0.250), Re at (0.250, 0.250, 0.750) and Ir at (0.000, 0.000, 0.500).

The calculated formation energy is 4.541 eV per formula unit.


Entry from the Alexandria database: crystalline Cs5Nb2S4Cl9 at its relaxed geometry (PBE).

The space group is Immm (No. 71) and the conventional cell measures 7.490, 10.575 and 16.672 Å, with angles of 90.00, 90.00 and 90.00 degrees. The inequivalent atoms are Cs at (0.000, 0.000, 0.000), Cs at (0.000, 0.277, 0.335), Nb at (0.000, 0.500, 0.088), S at (0.238, 0.405, 0.000), Cl at (0.000, 0.257, 0.128), Cl at (0.000, 0.500, 0.500) and Cl at (0.233, 0.500, 0.200).

The calculation puts the uncorrected formation energy at -1.5238 eV/atom.